[1]
First-principles (PBE-GGA) data for a relaxed structure of Ho11Cd9Hg4, as listed in Alexandria.

a b c (Å): 13.321 13.321 3.758
angles (deg): 90.00 90.00 112.49
Atoms (fractional coordinates):
Ho 0.000 0.000 0.000
Ho 0.068 0.412 0.000
Ho 0.165 0.835 0.000
Ho 0.269 0.269 0.000
Ho 0.353 0.647 0.000
Ho 0.412 0.068 0.000
Ho 0.588 0.932 0.000
Ho 0.647 0.353 0.000
Ho 0.731 0.731 0.000
Ho 0.835 0.165 0.000
Ho 0.932 0.588 0.000
Cd 0.052 0.207 0.500
Cd 0.147 0.632 0.500
Cd 0.207 0.052 0.500
Cd 0.368 0.853 0.500
Cd 0.500 0.500 0.500
Cd 0.632 0.147 0.500
Cd 0.793 0.948 0.500
Cd 0.853 0.368 0.500
Cd 0.948 0.793 0.500
Hg 0.259 0.449 0.500
Hg 0.449 0.259 0.500
Hg 0.551 0.741 0.500
Hg 0.741 0.551 0.500

Values from the calculation:
Electronic total energy in eV/atom: -2.842
ΔH_f (0 K) in kJ per mole of atoms: -33.8
Spin magnetization in μB/cell: 0.000

[2]
First-principles (PBE-GGA) data for a relaxed structure of SnHg, as listed in Alexandria.

a b c (Å): 4.641 4.641 4.641
angles (deg): 60.00 60.00 60.00
Atoms (fractional coordinates):
Sn 0.000 0.000 0.000
Hg 0.750 0.750 0.750

Values from the calculation:
Electronic total energy in eV/atom: -1.832
ΔH_f (0 K) in kJ per mole of atoms: 30.9
Spin magnetization in μB/cell: 0.000

[3]
First-principles (PBE-GGA) data for a relaxed structure of HoTlOsO6, as listed in Alexandria.

a b c (Å): 5.627 5.627 5.514
angles (deg): 90.00 90.00 120.00
Atoms (fractional coordinates):
Ho 0.000 0.000 0.000
Tl 0.667 0.333 0.500
Os 0.333 0.667 0.000
O 0.077 0.379 0.198
O 0.077 0.698 0.802
O 0.302 0.379 0.802
O 0.302 0.923 0.198
O 0.621 0.698 0.198
O 0.621 0.923 0.802

Values from the calculation:
Formation energy without anion corrections in kJ/mol of atoms: -152.8
Electronic total energy in eV/atom: -6.909
Spin magnetization in μB/cell: 0.000